No. 1
Material: Sc4As2N
Method: DFT, PBE
State: relaxed

Lattice parameters (Å, degrees): 3.5353 7.2449 7.0168 132.72 104.59 90.00
Last column: nearest neighbours and their distance in Å.
Atoms (fractional coordinates):
Sc 0.0688 0.7914 0.1375  1 N 2.27
Sc 0.9312 0.2086 0.8625  1 N 2.27
Sc 0.3561 0.7662 0.7123  2 N 2.27
Sc 0.6439 0.2338 0.2877  2 N 2.27
As 0.6577 0.6296 0.3155  7 Sc 2.74-2.96
As 0.3423 0.3704 0.6845  7 Sc 2.74-2.96
N 0.0000 0.0000 0.0000  6 Sc 2.27

Computed properties:
Formation energy from raw total energies   -1231 meV per atom
ρ   4.6 Mg/m³
Space group   No. 12
Size of the total moment   0.001 μB/f.u.

No. 2
Material: PrNd5Tl3
Method: DFT, PBE
State: relaxed

Lattice parameters (Å, degrees): 8.9280 8.9280 9.5498 117.87 117.87 90.00
Last column: nearest neighbours and their distance in Å.
Atoms (fractional coordinates):
Nd 0.6615 0.1615 0.7309  1 Tl 3.02, 1 Pr 3.06
Nd 0.5694 0.6615 0.7309  1 Tl 3.02, 1 Pr 3.06
Nd 0.1615 0.0694 0.7309  1 Tl 3.02, 1 Pr 3.06
Nd 0.4306 0.3385 0.2691  1 Tl 3.02, 1 Pr 3.06
Nd 0.3385 0.8385 0.2691  1 Tl 3.02, 1 Pr 3.06
Nd 0.9306 0.4306 0.2691  1 Tl 3.02, 1 Pr 3.06
Nd 0.0000 0.0000 0.0000  6 Tl 3.58-3.61, 8 Nd 3.74
Nd 0.8385 0.9306 0.2691  1 Tl 3.02, 1 Pr 3.06
Nd 0.5000 0.5000 0.0000  6 Tl 3.58-3.61, 8 Nd 3.74
Nd 0.0694 0.5694 0.7309  1 Tl 3.02, 1 Pr 3.06
Tl 0.1116 0.3884 0.0000  1 Tl 2.82, 2 Nd 3.02
Tl 0.2500 0.2500 0.5000  10 Nd 3.58-3.61
Tl 0.8884 0.6116 0.0000  1 Tl 2.82, 2 Nd 3.02
Tl 0.3884 0.8884 0.0000  1 Tl 2.82, 2 Nd 3.02
Tl 0.6116 0.1116 0.0000  1 Tl 2.82, 2 Nd 3.02
Tl 0.7500 0.7500 0.5000  10 Nd 3.58-3.61
Pr 0.2500 0.7500 0.5000  4 Nd 3.06
Pr 0.7500 0.2500 0.5000  4 Nd 3.06

Computed properties:
ρ   8.6 Mg/m³
DFT formation energy   -0.56 eV per formula unit
Space group   No. 140
Size of the total moment   0.000 μB/f.u.

No. 3
Material: PmPuRuPb
Method: DFT, PBE
State: relaxed

Lattice parameters (Å, degrees): 5.1931 5.1931 5.1931 60.00 60.00 60.00
Last column: nearest neighbours and their distance in Å.
Atoms (fractional coordinates):
Ru 0.5000 0.5000 0.5000  4 Pm 3.18, 4 Pu 3.18
Pm 0.2500 0.2500 0.2500  4 Pb 3.18, 4 Ru 3.18
Pb 0.0000 0.0000 0.0000  4 Pu 3.18, 4 Pm 3.18
Pu 0.7500 0.7500 0.7500  4 Pb 3.18, 4 Ru 3.18

Computed properties:
ρ   11.7 Mg/m³
DFT formation energy   0.02 eV per formula unit
Space group   No. 216
Size of the total moment   5.032 μB/f.u.

No. 4
Material: CuTeRhN2
Method: DFT, PBE
State: relaxed

Lattice parameters (Å, degrees): 3.7875 3.7875 5.8768 90.00 90.00 90.00
Last column: nearest neighbours and their distance in Å.
Atoms (fractional coordinates):
Te 0.0000 0.0000 0.5000  4 Cu 2.68, 2 Rh 2.94
Rh 0.0000 0.0000 0.0000  4 N 1.89
N 0.5000 0.0000 0.0000  2 Rh 1.89
N 0.0000 0.5000 0.0000  2 Rh 1.89
Cu 0.5000 0.5000 0.5000  4 Te 2.68

Computed properties:
Formation energy from raw total energies   1022 meV per atom
ρ   6.3 Mg/m³
Space group   No. 123
Size of the total moment   0.432 μB/f.u.

No. 5
Material: Tm2Ga2GeIr5
Method: DFT, PBE
State: relaxed

Lattice parameters (Å, degrees): 3.5713 9.6637 9.6637 90.00 90.00 90.00
Last column: nearest neighbours and their distance in Å.
Atoms (fractional coordinates):
Ir 0.5000 0.5000 0.0000  4 Ga 2.48
Ir 0.5000 0.4341 0.2986  2 Ga 2.51, 2 Ge 2.72
Ir 0.5000 0.7014 0.4341  2 Ga 2.51, 2 Ge 2.72
Ir 0.5000 0.0659 0.7986  2 Ga 2.51, 2 Ge 2.72
Ir 0.5000 0.5659 0.7014  2 Ga 2.51, 2 Ge 2.72
Ir 0.5000 0.7986 0.9341  2 Ga 2.51, 2 Ge 2.72
Ir 0.5000 0.2014 0.0659  2 Ga 2.51, 2 Ge 2.72
Ir 0.5000 0.2986 0.5659  2 Ga 2.51, 2 Ge 2.72
Ir 0.5000 0.9341 0.2014  2 Ga 2.51, 2 Ge 2.72
Ir 0.5000 0.0000 0.5000  4 Ga 2.48
Tm 0.0000 0.3270 0.8270  3 Ga 2.75-2.92, 2 Ir 2.96
Tm 0.0000 0.8270 0.6730  3 Ga 2.75-2.92, 2 Ir 2.96
Tm 0.0000 0.6730 0.1730  3 Ga 2.75-2.92, 2 Ir 2.96
Tm 0.0000 0.1730 0.3270  3 Ga 2.75-2.92, 2 Ir 2.96
Ga 0.0000 0.1261 0.6261  6 Ir 2.48-2.51, 1 Tm 2.75
Ga 0.0000 0.6261 0.8739  6 Ir 2.48-2.51, 1 Tm 2.75
Ga 0.0000 0.3739 0.1261  6 Ir 2.48-2.51, 1 Tm 2.75
Ga 0.0000 0.8739 0.3739  6 Ir 2.48-2.51, 1 Tm 2.75
Ge 0.0000 0.0000 0.0000  8 Ir 2.72
Ge 0.0000 0.5000 0.5000  8 Ir 2.72

Computed properties:
ρ   15.0 Mg/m³
DFT formation energy   -6.30 eV per formula unit
Space group   No. 127
Size of the total moment   0.000 μB/f.u.

No. 6
Material: YNiW
Method: DFT, PBE
State: relaxed

Lattice parameters (Å, degrees): 6.1250 6.1250 6.1250 150.80 150.80 41.76
Last column: nearest neighbours and their distance in Å.
Atoms (fractional coordinates):
Ni 0.9730 0.9730 0.0000  4 W 2.52
Y 0.6648 0.6648 0.0000  4 Y 3.09, 4 Ni 3.10, 4 W 3.14
W 0.3622 0.3622 0.0000  4 Ni 2.52

Computed properties:
ρ   10.1 Mg/m³
DFT formation energy   0.57 eV per formula unit
Space group   No. 107
Size of the total moment   0.000 μB/f.u.

No. 7
Material: Na2PuI6
Method: DFT, PBE
State: relaxed

Lattice parameters (Å, degrees): 7.5484 7.5484 13.8653 90.00 90.00 90.00
Last column: nearest neighbours and their distance in Å.
Atoms (fractional coordinates):
I 0.8044 0.1956 0.6565  1 Pu 3.01, 2 Na 3.22-3.25
I 0.6956 0.6956 0.8435  1 Pu 3.01, 2 Na 3.22-3.25
I 0.7170 0.7170 0.5000  1 Pu 3.02, 2 Na 3.27
I 0.2170 0.7830 0.0000  1 Pu 3.02, 2 Na 3.27
I 0.8044 0.1956 0.3435  1 Pu 3.01, 2 Na 3.22-3.25
I 0.3044 0.3044 0.1565  1 Pu 3.01, 2 Na 3.22-3.25
I 0.3044 0.3044 0.8435  1 Pu 3.01, 2 Na 3.22-3.25
I 0.2830 0.2830 0.5000  1 Pu 3.02, 2 Na 3.27
I 0.6956 0.6956 0.1565  1 Pu 3.01, 2 Na 3.22-3.25
I 0.1956 0.8044 0.3435  1 Pu 3.01, 2 Na 3.22-3.25
I 0.1956 0.8044 0.6565  1 Pu 3.01, 2 Na 3.22-3.25
I 0.7830 0.2170 0.0000  1 Pu 3.02, 2 Na 3.27
Pu 0.5000 0.5000 0.0000  6 I 3.01-3.02
Pu 0.0000 0.0000 0.5000  6 I 3.01-3.02
Na 0.5000 0.5000 0.3333  6 I 3.22-3.27
Na 0.5000 0.5000 0.6667  6 I 3.22-3.27
Na 0.0000 0.0000 0.1667  6 I 3.22-3.27
Na 0.0000 0.0000 0.8333  6 I 3.22-3.27

Computed properties:
Formation energy from raw total energies   -1010 meV per atom
ρ   4.4 Mg/m³
Space group   No. 136
Size of the total moment   3.998 μB/f.u.

No. 8
Material: Y6Tl2Ga
Method: DFT, PBE
State: relaxed

Lattice parameters (Å, degrees): 6.2677 8.7340 9.7317 90.00 85.05 90.00
Last column: nearest neighbours and their distance in Å.
Atoms (fractional coordinates):
Y 0.3818 0.8260 0.0533  1 Ga 2.98, 3 Tl 3.10-3.25
Y 0.1182 0.3260 0.4467  1 Ga 2.98, 3 Tl 3.10-3.25
Y 0.1150 0.0343 0.7828  1 Ga 2.92, 1 Tl 3.22
Y 0.6150 0.4657 0.2828  1 Ga 2.92, 1 Tl 3.22
Y 0.8818 0.6740 0.5533  1 Ga 2.98, 3 Tl 3.10-3.25
Y 0.8953 0.6814 0.9444  1 Ga 2.95, 2 Tl 3.21-3.30
Y 0.3953 0.8186 0.4444  1 Ga 2.95, 2 Tl 3.21-3.30
Y 0.3850 0.5343 0.7172  1 Ga 2.92, 1 Tl 3.22
Y 0.1047 0.3186 0.0556  1 Ga 2.95, 2 Tl 3.21-3.30
Y 0.6047 0.1814 0.5556  1 Ga 2.95, 2 Tl 3.21-3.30
Y 0.8850 0.9657 0.2172  1 Ga 2.92, 1 Tl 3.22
Y 0.6182 0.1740 0.9467  1 Ga 2.98, 3 Tl 3.10-3.25
Tl 0.0839 0.6194 0.2453  8 Y 3.10-3.35
Tl 0.5839 0.8806 0.7453  8 Y 3.10-3.35
Tl 0.9161 0.3806 0.7547  8 Y 3.10-3.35
Tl 0.4161 0.1194 0.2547  8 Y 3.10-3.35
Ga 0.0000 0.0000 0.5000  6 Y 2.92-2.98
Ga 0.5000 0.5000 0.0000  6 Y 2.92-2.98

Computed properties:
ρ   6.3 Mg/m³
DFT formation energy   -2.32 eV per formula unit
Space group   No. 14
Size of the total moment   0.001 μB/f.u.

No. 9
Material: Y2GeN
Method: DFT, PBE
State: relaxed

Lattice parameters (Å, degrees): 4.7922 4.7922 4.7922 60.00 60.00 60.00
Last column: nearest neighbours and their distance in Å.
Atoms (fractional coordinates):
Ge 0.5000 0.5000 0.5000  8 Y 2.93
Y 0.7500 0.7500 0.7500  4 Ge 2.93, 4 N 2.93
Y 0.2500 0.2500 0.2500  4 Ge 2.93, 4 N 2.93
N 0.0000 0.0000 0.0000  8 Y 2.93

Computed properties:
Formation energy from raw total energies   -152 meV per atom
ρ   5.6 Mg/m³
Space group   No. 225
Size of the total moment   0.000 μB/f.u.

No. 10
Material: Ca2PuTl3S6
Method: DFT, PBE
State: relaxed

Lattice parameters (Å, degrees): 7.0573 7.0573 7.7393 98.65 98.65 119.78
Last column: nearest neighbours and their distance in Å.
Atoms (fractional coordinates):
S 0.6255 0.9337 0.8013  1 Pu 2.63, 2 Ca 2.85-2.86
S 0.3745 0.0663 0.1987  1 Pu 2.63, 2 Ca 2.85-2.86
S 0.0663 0.3745 0.1987  1 Pu 2.63, 2 Ca 2.85-2.86
S 0.7593 0.7593 0.2070  1 Pu 2.67, 2 Ca 2.88
S 0.2407 0.2407 0.7930  1 Pu 2.67, 2 Ca 2.88
S 0.9337 0.6255 0.8013  1 Pu 2.63, 2 Ca 2.85-2.86
Pu 0.0000 0.0000 0.0000  6 S 2.63-2.67
Tl 0.5000 0.5000 0.5000  6 S 3.18-3.32
Tl 0.8314 0.1686 0.5000  6 S 3.16-3.36
Tl 0.1686 0.8314 0.5000  6 S 3.16-3.36
Ca 0.6658 0.3342 0.0000  6 S 2.85-2.88
Ca 0.3342 0.6658 0.0000  6 S 2.85-2.88

Computed properties:
Formation energy from raw total energies   -1196 meV per atom
ρ   5.9 Mg/m³
Space group   No. 12
Size of the total moment   2.998 μB/f.u.

No. 11
Material: RbLaCd2
Method: DFT, PBE
State: relaxed

Lattice parameters (Å, degrees): 4.0238 4.0238 8.9289 90.00 90.00 90.00
Last column: nearest neighbours and their distance in Å.
Atoms (fractional coordinates):
La 0.5000 0.5000 0.0000  8 Cd 3.37
Cd 0.0000 0.0000 0.7986  4 La 3.37, 1 Cd 3.60
Cd 0.0000 0.0000 0.2014  4 La 3.37, 1 Cd 3.60
Rb 0.5000 0.5000 0.5000  8 Cd 3.90, 4 Rb 4.02

Computed properties:
ρ   5.2 Mg/m³
DFT formation energy   -0.45 eV per formula unit
Space group   No. 123
Size of the total moment   0.544 μB/f.u.

No. 12
Material: Zr2CuRe
Method: DFT, PBE
State: relaxed

Lattice parameters (Å, degrees): 4.6688 4.6688 4.6688 60.00 60.00 60.00
Last column: nearest neighbours and their distance in Å.
Atoms (fractional coordinates):
Zr 0.5000 0.5000 0.5000  4 Cu 2.86, 4 Re 2.86
Zr 0.0000 0.0000 0.0000  4 Cu 2.86, 4 Re 2.86
Cu 0.2500 0.2500 0.2500  8 Zr 2.86
Re 0.7500 0.7500 0.7500  8 Zr 2.86

Computed properties:
ρ   10.0 Mg/m³
DFT formation energy   -0.83 eV per formula unit
Space group   No. 225
Size of the total moment   0.000 μB/f.u.

| no. | E (eV/cell) | density of states at the Fermi level (states/eV/atom) |
| --- | --- | --- |
| 1 | -51.6 | 0.946 |
| 2 | -72.6 | 0.968 |
| 3 | -32.0 | 2.127 |
| 4 | -26.1 | 0.700 |
| 5 | -140.4 | 0.343 |
| 6 | -24.6 | 0.634 |
| 7 | -70.7 | 1.145 |
| 8 | -97.7 | 1.298 |
| 9 | -26.5 | 1.005 |
| 10 | -64.5 | 0.867 |
| 11 | -8.2 | 0.897 |
| 12 | -34.5 | 1.017 |